A geometry-optimized K2CdTcO6 structure. Source: Alexandria, functional GGA-PBE.

spin magnetization = 1.06 μB per cell
formation energy (no corrections) = -1103.6 meV/atom
SG = P-3m1 (164)

POSCAR file:
```
K2CdTcO6
1.0
6.168 0.000 0.000
-3.084 5.342 0.000
0.000 0.000 5.771
K Cd Tc O
2 1 1 6
direct
0.333 0.667 0.140 K
0.667 0.333 0.860 K
0.000 0.000 0.500 Cd
0.000 0.000 0.000 Tc
0.144 0.287 0.805 O
0.144 0.856 0.805 O
0.287 0.144 0.195 O
0.713 0.856 0.805 O
0.856 0.144 0.195 O
0.856 0.713 0.195 O
```